Material: CoOsO3
Method: DFT, PBE+U
State: optimized geometry

Computed properties:
Its crystal system is cubic. Its energy is -5.77 eV per atom.

Cell lengths 3.6746, 3.6746, 3.6746 Å; angles 90.00, 90.00, 90.00 degrees
Sites, in units of the cell vectors:
O: 0.0000 0.5000 0.5000
O: 0.5000 0.0000 0.5000
O: 0.5000 0.5000 0.0000
Os: 0.0000 0.0000 0.0000
Co: 0.5000 0.5000 0.5000